# 1
The following is a PBE calculation of a geometry-optimized KHgIr2 structure, from Alexandria.

Crystal system = tetragonal

CIF file:
```
data_KHgIr2
_chemical_formula_sum 'K1 Hg1 Ir2'
_symmetry_space_group_name_H-M 'P 1'
_symmetry_Int_Tables_number 1
_symmetry_space_group_name_Hall 'P 1'
_cell_length_a 2.8437
_cell_length_b 2.8437
_cell_length_c 9.6728
_cell_angle_alpha 90.00
_cell_angle_beta 90.00
_cell_angle_gamma 90.00
loop_
_atom_site_label
_atom_site_type_symbol
_atom_site_fract_x
_atom_site_fract_y
_atom_site_fract_z
_atom_site_occupancy
Ir1 Ir 0.0000 0.0000 0.9700 1
Ir2 Ir 0.0000 0.0000 0.5300 1
Hg1 Hg 0.5000 0.5000 0.7500 1
K1 K 0.5000 0.5000 0.2500 1
```


# 2
The following is a PBE calculation of a geometry-optimized KHg2Ir structure, from Alexandria.

Offset from the most stable computed form = 516 meV per atom
Crystal system = orthorhombic

CIF file:
```
data_KHg2Ir
_chemical_formula_sum 'K1 Hg2 Ir1'
_symmetry_space_group_name_H-M 'P 1'
_symmetry_Int_Tables_number 1
_symmetry_space_group_name_Hall 'P 1'
_cell_length_a 3.0059
_cell_length_b 5.9512
_cell_length_c 5.2412
_cell_angle_alpha 90.00
_cell_angle_beta 90.00
_cell_angle_gamma 90.00
loop_
_atom_site_label
_atom_site_type_symbol
_atom_site_fract_x
_atom_site_fract_y
_atom_site_fract_z
_atom_site_occupancy
K1 K 0.0000 0.5000 0.5000 1
Hg1 Hg 0.5000 0.5000 0.0000 1
Hg2 Hg 0.0000 0.0000 0.0000 1
Ir1 Ir 0.5000 0.0000 0.5000 1
```


# 3
The following is a PBE calculation of a geometry-optimized K2HgIr structure, from Alexandria.

Crystal system = cubic

CIF file:
```
data_K2HgIr
_chemical_formula_sum 'K2 Hg1 Ir1'
_symmetry_space_group_name_H-M 'P 1'
_symmetry_Int_Tables_number 1
_symmetry_space_group_name_Hall 'P 1'
_cell_length_a 5.2481
_cell_length_b 5.2481
_cell_length_c 5.2481
_cell_angle_alpha 60.00
_cell_angle_beta 60.00
_cell_angle_gamma 60.00
loop_
_atom_site_label
_atom_site_type_symbol
_atom_site_fract_x
_atom_site_fract_y
_atom_site_fract_z
_atom_site_occupancy
K1 K 0.2500 0.2500 0.2500 1
K2 K 0.0000 0.0000 0.0000 1
Ir1 Ir 0.7500 0.7500 0.7500 1
Hg1 Hg 0.5000 0.5000 0.5000 1
```


# 4
The following is a PBE calculation of a geometry-optimized KHgIr2 structure, from Alexandria.

Crystal system = monoclinic

CIF file:
```
data_KHgIr2
_chemical_formula_sum 'K1 Hg1 Ir2'
_symmetry_space_group_name_H-M 'P 1'
_symmetry_Int_Tables_number 1
_symmetry_space_group_name_Hall 'P 1'
_cell_length_a 5.0734
_cell_length_b 2.7856
_cell_length_c 6.1406
_cell_angle_alpha 82.05
_cell_angle_beta 90.00
_cell_angle_gamma 90.00
loop_
_atom_site_label
_atom_site_type_symbol
_atom_site_fract_x
_atom_site_fract_y
_atom_site_fract_z
_atom_site_occupancy
Hg1 Hg 0.5000 0.7500 0.7500 1
Ir1 Ir 0.0000 0.9478 0.9285 1
Ir2 Ir 0.0000 0.5522 0.5715 1
K1 K 0.5000 0.2500 0.2500 1
```


ΔE_f values (in kJ/mol of atoms) by entry order: 84; 54; 51; 70.
VASP energy values (in eV per atom) by entry order: -3.91; -2.08; -2.31; -4.05.